<w>
DFT (GGA-PBE) results for a relaxed PmHfTe2 crystal.

Structure (extended XYZ):
```
4
Lattice="-0.0288 -3.2368 -1.7035 3.6472 0.1034 -0.2582 0.5671 -3.4856 6.6132" Properties=species:S:1:pos:R:3 pbc="T T T"
Hf 1.8092 -1.5667 -0.9809
Te 0.4377 -2.6907 5.1051
Te 0.1293 -0.7949 1.5081
Pm 2.0927 -3.3095 2.3257
```

Calculated values
Size of the total moment (μB/f.u.): 0.00
SG: P4/mmm

<x>
DFT (GGA-PBE) results for a relaxed PmHfTe2 crystal.

Structure (extended XYZ):
```
4
Lattice="3.9161 0.0000 0.0000 1.9580 3.3914 0.0000 1.9580 1.1305 9.8927" Properties=species:S:1:pos:R:3 pbc="T T T"
Te 1.9580 1.1305 6.7474
Te 5.8741 3.3914 3.1452
Pm 0.0000 0.0000 0.0000
Hf 3.9161 2.2609 4.9463
```

Calculated values
Size of the total moment (μB/f.u.): 0.00
SG: R-3m

Q: Which of them is the least stable? A: <x>.

<w>
DFT (GGA-PBE) results for a relaxed PmHf2Th crystal.

Structure (extended XYZ):
```
4
Lattice="4.7767 0.0000 0.0000 0.0000 4.7682 0.0000 0.0000 0.0000 4.7682" Properties=species:S:1:pos:R:3 pbc="T T T"
Th 2.3884 2.3841 2.3841
Hf 0.0000 2.3841 0.0000
Hf 0.0000 0.0000 2.3841
Pm 2.3884 0.0000 0.0000
```

Calculated values
Size of the total moment (μB/f.u.): 0.00
SG: P4/mmm

<x>
DFT (GGA-PBE) results for a relaxed PmHf2Th crystal.

Structure (extended XYZ):
```
4
Lattice="-2.6269 1.9318 2.2365 -0.1118 -3.0551 2.5076 5.2979 2.8751 3.7392" Properties=species:S:1:pos:R:3 pbc="T T T"
Pm -1.3694 -0.5617 2.3720
Hf 1.5108 0.8199 1.0663
Hf 3.7870 2.0552 2.6728
Th 1.2796 0.8759 4.2416
```

Calculated values
Size of the total moment (μB/f.u.): 0.00
SG: P4/mmm

Q: Which of them is the least stable? A: <w>.

<w>
DFT (GGA-PBE) results for a relaxed PmTm2Hf crystal.

Structure (extended XYZ):
```
4
Lattice="3.3274 0.0000 0.0000 1.6637 2.8816 0.0000 1.6637 0.9605 12.0069" Properties=species:S:1:pos:R:3 pbc="T T T"
Tm 1.6637 0.9605 8.9179
Tm 4.9911 2.8816 3.0891
Pm 3.3274 1.9211 6.0035
Hf 0.0000 0.0000 0.0000
```

Calculated values
Size of the total moment (μB/f.u.): 0.00
SG: R-3m

<x>
DFT (GGA-PBE) results for a relaxed PmTm2Hf crystal.

Structure (extended XYZ):
```
4
Lattice="3.4293 0.0000 0.0000 1.7147 2.9699 0.0000 1.7147 0.9900 11.1955" Properties=species:S:1:pos:R:3 pbc="T T T"
Tm 1.7147 0.9900 8.6129
Tm 1.7147 0.9900 2.5846
Pm 3.4293 1.9799 5.5850
Hf 3.4293 1.9799 0.0107
```

Calculated values
Size of the total moment (μB/f.u.): 0.00
SG: R3m

Q: Which of them is the least stable? A: <w>.

<w>
DFT (GGA-PBE) results for a relaxed Pm2YHf crystal.

Structure (extended XYZ):
```
4
Lattice="-3.5514 -2.4356 2.2721 2.7785 -4.0932 -0.0449 1.9325 1.2639 4.3755" Properties=species:S:1:pos:R:3 pbc="T T T"
Pm 0.9663 0.6319 2.1877
Pm 1.3893 -2.0466 -0.0224
Y -1.7757 -1.2178 1.1360
Hf 0.5798 -2.6325 3.3014
```

Calculated values
Size of the total moment (μB/f.u.): 0.00
SG: P4/mmm

<x>
DFT (GGA-PBE) results for a relaxed Pm2YHf crystal.

Structure (extended XYZ):
```
4
Lattice="-2.4481 -2.4186 -0.5413 0.7356 -3.3671 0.5078 -3.8829 -1.0113 10.8695" Properties=species:S:1:pos:R:3 pbc="T T T"
Pm -3.1085 -1.2257 8.3254
Pm -1.3414 -1.7152 2.5202
Y -2.8048 -3.3965 5.4411
Hf -5.0214 -4.8693 10.8366
```

Calculated values
Size of the total moment (μB/f.u.): 0.00
SG: R3m

<y>
DFT (GGA-PBE) results for a relaxed Pm2YHf crystal.

Structure (extended XYZ):
```
4
Lattice="4.0388 0.0000 0.0000 0.0000 4.0388 0.0000 0.0000 0.0000 7.3688" Properties=species:S:1:pos:R:3 pbc="T T T"
Hf 2.0194 2.0194 0.0000
Pm 0.0000 0.0000 5.7323
Pm 0.0000 0.0000 1.6366
Y 2.0194 2.0194 3.6844
```

Calculated values
Size of the total moment (μB/f.u.): 0.00
SG: P4/mmm

<z>
DFT (GGA-PBE) results for a relaxed Pm2YHf crystal.

Structure (extended XYZ):
```
4
Lattice="3.3836 0.0000 0.0000 1.6918 2.9303 0.0000 1.6918 0.9768 12.1737" Properties=species:S:1:pos:R:3 pbc="T T T"
Y 3.3836 1.9535 6.0868
Pm 1.6918 0.9768 9.0657
Pm 5.0754 2.9303 3.1080
Hf 0.0000 0.0000 0.0000
```

Calculated values
Size of the total moment (μB/f.u.): 0.00
SG: R-3m

Q: Which of them is the least stable? A: <z>.

<w>
DFT (GGA-PBE) results for a relaxed PmHfZr2 crystal.

Structure (extended XYZ):
```
4
Lattice="3.2784 0.0000 0.0000 1.6392 2.8392 0.0000 1.6392 0.9464 10.7981" Properties=species:S:1:pos:R:3 pbc="T T T"
Hf 4.9176 2.8392 10.7912
Pm 3.2784 1.8928 5.4145
Zr 1.6392 0.9464 8.2919
Zr 1.6392 0.9464 2.4976
```

Calculated values
Size of the total moment (μB/f.u.): 0.00
SG: R3m

<x>
DFT (GGA-PBE) results for a relaxed PmHfZr2 crystal.

Structure (extended XYZ):
```
4
Lattice="4.6061 0.0000 0.0000 0.0000 4.6575 0.0000 0.0000 0.0000 4.6575" Properties=species:S:1:pos:R:3 pbc="T T T"
Zr 0.0000 2.3288 0.0000
Zr 0.0000 0.0000 2.3288
Pm 2.3030 2.3288 2.3288
Hf 2.3030 0.0000 0.0000
```

Calculated values
Size of the total moment (μB/f.u.): 0.00
SG: P4/mmm

<y>
DFT (GGA-PBE) results for a relaxed PmHfZr2 crystal.

Structure (extended XYZ):
```
4
Lattice="-0.3983 3.2897 1.8489 -3.7660 -0.2282 -0.4053 -0.4489 -3.5087 6.1461" Properties=species:S:1:pos:R:3 pbc="T T T"
Zr -0.0933 -0.7290 1.2769
Zr -0.3557 -2.7797 4.8692
Hf -2.0821 1.5308 0.7218
Pm -2.3066 -0.2236 3.7949
```

Calculated values
Size of the total moment (μB/f.u.): 0.00
SG: P4/mmm

Q: Which of them is the least stable? A: <x>.

<w>
DFT (GGA-PBE) results for a relaxed Pr2HfS5 crystal.

Structure (extended XYZ):
```
16
Lattice="5.2548 0.0000 0.0000 -2.6274 6.9298 0.0000 0.0000 0.0000 13.0598" Properties=species:S:1:pos:R:3 pbc="T T T"
Hf 2.6274 4.3984 9.7949
Hf 0.0000 2.5313 3.2650
S 0.0000 0.6854 4.9117
S 2.6274 6.2443 8.1481
S 2.6274 2.8232 7.7317
S 0.0000 3.8208 9.7949
S 0.0000 4.1066 1.2017
S 2.6274 2.8232 11.8581
S 2.6274 3.1090 3.2650
S 0.0000 0.6854 1.6182
S 0.0000 4.1066 5.3282
S 2.6274 6.2443 11.4417
Pr 2.6274 4.9424 0.8556
Pr 2.6274 4.9424 5.6743
Pr 0.0000 1.9873 7.3855
Pr 0.0000 1.9873 12.2043
```

Calculated values
Size of the total moment (μB/f.u.): 0.00
SG: Cmcm

<x>
DFT (GGA-PBE) results for a relaxed Pr2HfS5 crystal.

Structure (extended XYZ):
```
32
Lattice="7.4120 0.0000 0.0000 0.0000 8.0661 0.0000 0.0000 0.0000 11.6334" Properties=species:S:1:pos:R:3 pbc="T T T"
S 1.2414 0.2801 4.8697
S 4.9474 7.7861 0.9470
S 1.2756 6.0496 8.2028
S 4.8273 6.0496 9.4823
S 4.9474 4.3132 0.9470
S 6.1706 4.3132 6.7637
S 3.2615 6.0496 5.7543
S 0.4445 6.0496 11.5710
S 4.1505 2.0165 5.8790
S 2.5847 2.0165 2.1511
S 4.9816 2.0165 9.2472
S 6.1706 7.7861 6.7637
S 1.1213 2.0165 7.9678
S 2.4646 0.2801 10.6864
S 1.2414 3.7530 4.8697
S 2.4646 3.7530 10.6864
S 2.4304 6.0496 2.3861
S 6.2907 6.0496 3.6656
S 6.9675 2.0165 0.0623
S 6.1364 2.0165 3.4305
Pr 0.3050 4.0396 2.0356
Pr 7.1070 4.0265 9.5977
Pr 3.4010 4.0396 7.8523
Pr 7.1070 0.0065 9.5977
Pr 3.4010 8.0596 7.8523
Pr 0.3050 8.0596 2.0356
Pr 4.0110 0.0065 3.7811
Pr 4.0110 4.0265 3.7811
Hf 0.5402 6.0496 5.7248
Hf 4.2462 2.0165 0.0918
Hf 3.1658 6.0496 11.5415
Hf 6.8718 2.0165 5.9085
```

Calculated values
Size of the total moment (μB/f.u.): 0.00
SG: Pnma

Q: Which of them is the least stable? A: <w>.

<w>
DFT (GGA-PBE) results for a relaxed PrHfS2 crystal.

Structure (extended XYZ):
```
4
Lattice="-1.7091 3.2671 -0.8073 -3.7465 0.3051 0.3427 -1.0735 3.1599 6.2367" Properties=species:S:1:pos:R:3 pbc="T T T"
Pr -3.2542 3.3936 2.9754
Hf -4.7199 5.5170 5.8475
S -1.6594 1.6114 1.2103
S -1.2338 2.7362 4.8615
```

Calculated values
Size of the total moment (μB/f.u.): 0.00
SG: R3m

<x>
DFT (GGA-PBE) results for a relaxed PrHfS2 crystal.

Structure (extended XYZ):
```
4
Lattice="-3.0279 2.3746 0.5810 -2.9800 -1.1544 2.2206 1.7745 3.5793 7.6518" Properties=species:S:1:pos:R:3 pbc="T T T"
Pr -2.1167 2.3997 5.2267
Hf 0.0000 0.0000 0.0000
S -4.9019 2.1491 4.7688
S 0.6685 2.6503 5.6846
```

Calculated values
Size of the total moment (μB/f.u.): 0.00
SG: R-3m

Q: Which of them is the least stable? A: <x>.

<w>
DFT (GGA-PBE) results for a relaxed Pr2HfSc crystal.

Structure (extended XYZ):
```
4
Lattice="3.3290 0.0000 0.0000 1.6645 2.8830 0.0000 1.6645 0.9610 12.0530" Properties=species:S:1:pos:R:3 pbc="T T T"
Pr 4.9936 2.8830 3.1463
Pr 1.6645 0.9610 8.9067
Sc 3.3290 1.9220 6.0265
Hf 0.0000 0.0000 0.0000
```

Calculated values
Size of the total moment (μB/f.u.): 0.00
SG: R-3m

<x>
DFT (GGA-PBE) results for a relaxed Pr2HfSc crystal.

Structure (extended XYZ):
```
4
Lattice="4.7378 0.0000 0.0000 0.0000 4.9206 0.0000 0.0000 0.0000 4.9206" Properties=species:S:1:pos:R:3 pbc="T T T"
Sc 2.3689 2.4603 2.4603
Hf 2.3689 0.0000 0.0000
Pr 0.0000 2.4603 0.0000
Pr 0.0000 0.0000 2.4603
```

Calculated values
Size of the total moment (μB/f.u.): 0.00
SG: P4/mmm

<y>
DFT (GGA-PBE) results for a relaxed Pr2HfSc crystal.

Structure (extended XYZ):
```
4
Lattice="-2.6295 -1.3794 1.7995 1.2086 -3.1842 -0.6748 5.2734 0.3171 7.9487" Properties=species:S:1:pos:R:3 pbc="T T T"
Sc -0.7104 -2.2818 0.5623
Pr 3.9195 0.2357 5.9080
Pr 1.3539 0.0814 2.0408
Hf 1.9263 -2.1233 4.5367
```

Calculated values
Size of the total moment (μB/f.u.): 0.00
SG: P4/mmm

Q: Which of them is the least stable? A: <w>.